1.
## ReIr2Pb (SCAN)

Data for a PBEsol-optimized structure of ReIr2Pb.

Unit cell a=4.0118 b=4.0118 c=3.9998 alpha=90.00 beta=90.00 gamma=90.00
Space group P4/mmm (No. 123)
One atom of each set of equivalent atoms:
1 Re 0.0000 0.0000 0.0000 x1
2 Ir 0.0000 0.5000 0.5000 x2
3 Pb 0.5000 0.5000 0.0000 x1

Its crystal system is tetragonal. Its density of states at the Fermi level is 3.6 states/eV/cell. Its formation energy is 3.1 eV per formula unit.

---

2.
## Re2IrPb (SCAN)

Data for a PBEsol-optimized structure of Re2IrPb.

Unit cell a=2.8646 b=2.8646 c=27.7962 alpha=90.00 beta=90.00 gamma=120.00
Space group R-3m (No. 166, hexagonal axes)
One atom of each set of equivalent atoms:
1 Re 0.0000 0.0000 0.2429 x6
2 Ir 0.0000 0.0000 0.5000 x3
3 Pb 0.0000 0.0000 0.0000 x3

Its crystal system is trigonal. Its density of states at the Fermi level is 6.7 states/eV/cell. Its formation energy is 3.0 eV per formula unit.

---

3.
## ReIrPb2 (SCAN)

Data for a PBEsol-optimized structure of ReIrPb2.

Unit cell a=3.2770 b=4.4323 c=5.3092 alpha=90.00 beta=90.00 gamma=90.00
Space group Pmmm (No. 47)
One atom of each set of equivalent atoms:
1 Re 0.0000 0.0000 0.0000 x1
2 Ir 0.5000 0.0000 0.5000 x1
3 Pb 0.0000 0.5000 0.5000 x1
4 Pb 0.5000 0.5000 0.0000 x1

Its crystal system is orthorhombic. Its density of states at the Fermi level is 2.7 states/eV/cell. Its formation energy is 4.7 eV per formula unit.